Entry 1:
## TaTl2Ag (PBEsol)

Data for a relaxed structure of TaTl2Ag.

Results
- DFT formation energy: 0.680 eV per atom
- Crystal system: tetragonal
- Total magnetic moment: 0.000 μB per atom
- Energy above the most stable polymorph in this dataset: 0.143 eV per atom

Lattice parameters (Å, degrees): 4.2726 4.2726 5.3642 113.47 113.47 90.00
Positions (direct):
Tl (0.7500, 0.2500, 0.5000)
Tl (0.2500, 0.7500, 0.5000)
Ag (0.5000, 0.5000, 0.0000)
Ta (0.0000, 0.0000, 0.0000)

=====

Entry 2:
## TaTl2Ag (PBEsol)

Data for a relaxed structure of TaTl2Ag.

Results
- DFT formation energy: 0.537 eV per atom
- Crystal system: monoclinic
- Total magnetic moment: 0.000 μB per atom
- Energy above the most stable polymorph in this dataset: 0.000 eV per atom

Lattice parameters (Å, degrees): 3.0297 5.0463 5.7154 101.31 90.00 107.47
Positions (direct):
Tl (0.7463, 0.4927, 0.7523)
Tl (0.2537, 0.5073, 0.2477)
Ag (0.0000, 0.0000, 0.5000)
Ta (0.5000, 0.0000, 0.0000)

=====

Entry 3:
## TaTl2Ag (PBEsol)

Data for a relaxed structure of TaTl2Ag.

Results
- DFT formation energy: 0.558 eV per atom
- Crystal system: tetragonal
- Total magnetic moment: 0.000 μB per atom
- Energy above the most stable polymorph in this dataset: 0.020 eV per atom

Lattice parameters (Å, degrees): 4.0720 4.0720 5.6676 111.05 111.05 90.00
Positions (direct):
Tl (0.0000, 0.0000, 0.0000)
Tl (0.7500, 0.2500, 0.5000)
Ag (0.5000, 0.5000, 0.0000)
Ta (0.2500, 0.7500, 0.5000)

=====

Entry 4:
## TaTlAg2 (PBEsol)

Data for a relaxed structure of TaTlAg2.

Results
- DFT formation energy: 0.383 eV per atom
- Crystal system: orthorhombic
- Total magnetic moment: 0.000 μB per atom

Lattice parameters (Å, degrees): 2.9291 4.2680 5.9340 90.00 90.00 90.00
Positions (direct):
Tl (0.5000, 0.5000, 0.5000)
Ag (0.0000, 0.0000, 0.7694)
Ag (0.0000, 0.0000, 0.2306)
Ta (0.5000, 0.5000, 0.0000)

=====

Entry 5:
## TaAg2W (PBEsol)

Data for a relaxed structure of TaAg2W.

Results
- DFT formation energy: 0.451 eV per atom
- Crystal system: trigonal
- Total magnetic moment: 0.000 μB per atom
- Energy above the most stable polymorph in this dataset: 0.000 eV per atom

Lattice parameters (Å, degrees): 2.7894 2.7894 9.9054 81.91 81.91 60.00
Positions (direct):
Ag (0.2489, 0.2489, 0.2532)
Ag (0.7511, 0.7511, 0.7468)
W (0.5000, 0.5000, 0.5000)
Ta (0.0000, 0.0000, 0.0000)

=====

Entry 6:
## TaAg2W (PBEsol)

Data for a relaxed structure of TaAg2W.

Results
- DFT formation energy: 0.765 eV per atom
- Crystal system: tetragonal
- Total magnetic moment: 0.000 μB per atom
- Energy above the most stable polymorph in this dataset: 0.314 eV per atom

Lattice parameters (Å, degrees): 2.7362 4.9226 4.9226 90.00 90.00 90.00
Positions (direct):
Ag (0.0000, 0.0000, 0.5000)
Ag (0.0000, 0.5000, 0.0000)
W (0.5000, 0.0000, 0.0000)
Ta (0.5000, 0.5000, 0.5000)

=====

Entry 7:
## TaAg2W (PBEsol)

Data for a relaxed structure of TaAg2W.

Results
- DFT formation energy: 0.609 eV per atom
- Crystal system: orthorhombic
- Total magnetic moment: 0.001 μB per atom
- Energy above the most stable polymorph in this dataset: 0.158 eV per atom

Lattice parameters (Å, degrees): 2.9976 4.8857 5.4288 116.74 106.03 90.00
Positions (direct):
Ag (0.9992, 0.9992, 0.9985)
Ag (0.7491, 0.2491, 0.4982)
W (0.2416, 0.7416, 0.4832)
Ta (0.5101, 0.5101, 0.0202)

=====

Entry 8:
## TaAg2W (PBEsol)

Data for a relaxed structure of TaAg2W.

Results
- DFT formation energy: 0.471 eV per atom
- Crystal system: monoclinic
- Total magnetic moment: 0.000 μB per atom
- Energy above the most stable polymorph in this dataset: 0.021 eV per atom

Lattice parameters (Å, degrees): 2.6934 5.1067 5.5598 114.79 99.58 99.49
Positions (direct):
Ag (0.0000, 0.0000, 0.5000)
Ag (0.5000, 0.5000, 0.5000)
W (0.0000, 0.5000, 0.0000)
Ta (0.5000, 0.0000, 0.0000)

=====

Entry 9:
## TaAg2W (PBEsol)

Data for a relaxed structure of TaAg2W.

Results
- DFT formation energy: 0.508 eV per atom
- Crystal system: tetragonal
- Total magnetic moment: 0.000 μB per atom
- Energy above the most stable polymorph in this dataset: 0.057 eV per atom

Lattice parameters (Å, degrees): 2.6997 2.6997 8.9435 90.00 90.00 90.00
Positions (direct):
Ag (0.0000, 0.0000, 0.7467)
Ag (0.0000, 0.0000, 0.2533)
W (0.5000, 0.5000, 0.5000)
Ta (0.5000, 0.5000, 0.0000)

=====

Entry 10:
## YTaAg2 (PBEsol)

Data for a relaxed structure of YTaAg2.

Results
- DFT formation energy: 0.246 eV per atom
- Crystal system: monoclinic
- Total magnetic moment: 0.000 μB per atom
- Energy above the most stable polymorph in this dataset: 0.077 eV per atom

Lattice parameters (Å, degrees): 2.9643 5.2640 5.2879 102.35 90.00 106.35
Positions (direct):
Ag (0.9869, 0.9738, 0.0121)
Ag (0.2579, 0.5157, 0.7219)
Ta (0.5083, 0.0167, 0.5449)
Y (0.7469, 0.4938, 0.2211)

=====

Entry 11:
## Y2TaAg (PBEsol)

Data for a relaxed structure of Y2TaAg.

Results
- DFT formation energy: 0.347 eV per atom
- Crystal system: trigonal
- Total magnetic moment: 0.001 μB per atom

Lattice parameters (Å, degrees): 3.2086 3.2086 10.4400 81.16 81.16 60.00
Positions (direct):
Ag (0.4938, 0.4938, 0.5186)
Ta (0.7558, 0.7558, 0.7327)
Y (0.0097, 0.0097, 0.9710)
Y (0.2407, 0.2407, 0.2778)

=====

Entry 12:
## YTaAg2 (PBEsol)

Data for a relaxed structure of YTaAg2.

Results
- DFT formation energy: 0.168 eV per atom
- Crystal system: tetragonal
- Total magnetic moment: 0.000 μB per atom
- Energy above the most stable polymorph in this dataset: 0.000 eV per atom

Lattice parameters (Å, degrees): 2.9681 2.9681 8.6061 90.00 90.00 90.00
Positions (direct):
Ag (0.0000, 0.0000, 0.7671)
Ag (0.0000, 0.0000, 0.2329)
Ta (0.5000, 0.5000, 0.0000)
Y (0.5000, 0.5000, 0.5000)

=====

Entry 13:
## YTaAg2 (PBEsol)

Data for a relaxed structure of YTaAg2.

Results
- DFT formation energy: 0.276 eV per atom
- Crystal system: orthorhombic
- Total magnetic moment: 0.000 μB per atom
- Energy above the most stable polymorph in this dataset: 0.108 eV per atom

Lattice parameters (Å, degrees): 3.0240 5.0414 5.8863 115.36 104.88 90.00
Positions (direct):
Ag (0.0178, 0.0178, 0.0355)
Ag (0.7443, 0.2443, 0.4886)
Ta (0.4854, 0.4854, 0.9708)
Y (0.2525, 0.7525, 0.5051)

=====

Entry 14:
## YTaAg3 (PBEsol)

Data for a relaxed structure of YTaAg3.

Results
- DFT formation energy: 1.762 eV per atom
- Crystal system: cubic
- Total magnetic moment: 0.000 μB per atom

Lattice parameters (Å, degrees): 4.9338 4.9338 4.9338 90.00 90.00 90.00
Positions (direct):
Y (0.0000, 0.0000, 0.0000)
Ag (0.0000, 0.5000, 0.0000)
Ag (0.0000, 0.0000, 0.5000)
Ag (0.5000, 0.0000, 0.0000)
Ta (0.5000, 0.5000, 0.5000)

=====

Entry 15:
## Ta2ZnAg (PBEsol)

Data for a relaxed structure of Ta2ZnAg.

Results
- DFT formation energy: 0.036 eV per atom
- Crystal system: orthorhombic
- Total magnetic moment: 0.000 μB per atom

Lattice parameters (Å, degrees): 2.7734 2.7734 8.7195 90.00 90.00 101.55
Positions (direct):
Zn (0.0000, 0.0000, 0.4968)
Ag (0.5000, 0.5000, 0.2623)
Ta (0.0000, 0.0000, 0.9995)
Ta (0.5000, 0.5000, 0.7414)

=====

Entry 16:
## Ta2ZnAg (PBEsol)

Data for a relaxed structure of Ta2ZnAg.

Results
- DFT formation energy: 0.158 eV per atom
- Crystal system: trigonal
- Total magnetic moment: 0.000 μB per atom

Lattice parameters (Å, degrees): 2.8338 2.8338 9.7071 81.61 81.61 60.00
Positions (direct):
Ag (0.2457, 0.2457, 0.2630)
Ta (0.9982, 0.9982, 0.0054)
Ta (0.7541, 0.7541, 0.7378)
Zn (0.5021, 0.5021, 0.4938)